## Ti2GeTe (GGA-PBEsol)

Data for a relaxed structure of Ti2GeTe.

a = 4.6293 Å, b = 4.6293 Å, c = 4.6293 Å
α = 60.00°, β = 60.00°, γ = 60.00°
Closest atoms and distances in Å follow each position.
Fractional coordinates of all 4 atoms:
Ti: 0.2500 0.2500 0.2500  4 Ge 2.83, 4 Te 2.83
Ti: 0.7500 0.7500 0.7500  4 Ge 2.83, 4 Te 2.83
Ge: 0.0000 0.0000 0.0000  8 Ti 2.83
Te: 0.5000 0.5000 0.5000  8 Ti 2.83

Output
* ρ: 7.01 Mg/m³
* total moment: 0.00 μB/f.u.
* formation energy without anion corrections: -328 meV per atom
* E_tot: -6.61 eV/atom

***

## MgZn4Cu2 (GGA-PBEsol)

Data for a relaxed structure of MgZn4Cu2.

a = 6.6297 Å, b = 6.6297 Å, c = 6.6297 Å
α = 37.19°, β = 37.19°, γ = 37.19°
Closest atoms and distances in Å follow each position.
Fractional coordinates of all 7 atoms:
Mg: 0.0000 0.0000 0.0000  6 Cu 2.65, 8 Zn 2.66-2.91
Zn: 0.1437 0.1437 0.1437  1 Cu 2.47, 6 Zn 2.58-2.67, 1 Mg 2.66
Zn: 0.4190 0.4190 0.4190  4 Cu 2.50-2.62, 3 Zn 2.67
Zn: 0.5810 0.5810 0.5810  4 Cu 2.50-2.62, 3 Zn 2.67
Zn: 0.8563 0.8563 0.8563  1 Cu 2.47, 6 Zn 2.58-2.67, 1 Mg 2.66
Cu: 0.2774 0.2774 0.2774  5 Zn 2.47-2.62, 3 Mg 2.65
Cu: 0.7226 0.7226 0.7226  5 Zn 2.47-2.62, 3 Mg 2.65

Output
* energy relative to the elements: -6.2 kJ per mole of atoms
* ρ: 7.19 Mg/m³
* total moment: 0.00 μB/f.u.
* energy above the lowest structure with this stoichiometry: 12 meV per atom
* E_tot: -2.45 eV/atom

***

## Nb3FeH (GGA-PBEsol)

Data for a relaxed structure of Nb3FeH.

a = 4.5366 Å, b = 4.5366 Å, c = 4.5366 Å
α = 90.00°, β = 90.00°, γ = 90.00°
Closest atoms and distances in Å follow each position.
Fractional coordinates of all 5 atoms:
Nb: 0.0000 0.0000 0.5000  2 Fe 2.27
Nb: 0.0000 0.5000 0.0000  2 Fe 2.27
Nb: 0.5000 0.0000 0.0000  2 Fe 2.27
Fe: 0.0000 0.0000 0.0000  6 Nb 2.27
H: 0.5000 0.5000 0.5000  12 Nb 3.21

Output
* ρ: 5.97 Mg/m³
* total moment: 0.00 μB/f.u.
* energy above the lowest structure with this stoichiometry: 1256 meV per atom
* E_tot: -7.54 eV/atom

***

## YPBr2 (GGA-PBEsol)

Data for a relaxed structure of YPBr2.

a = 4.9848 Å, b = 4.9848 Å, c = 6.8217 Å
α = 97.64°, β = 97.64°, γ = 46.23°
Closest atoms and distances in Å follow each position.
Fractional coordinates of all 4 atoms:
Y: 0.0000 0.0000 0.0000  3 P 2.71-2.80, 4 Br 2.88-2.98
P: 0.2941 0.2941 0.9349  1 Br 2.34
Br: 0.4303 0.4303 0.6696  1 P 2.34
Br: 0.6399 0.6399 0.2748  2 Y 2.88

Output
* ρ: 3.83 Mg/m³
* total moment: 0.00 μB/f.u.
* formation energy without anion corrections: -1007 meV per atom
* energy above the lowest structure with this stoichiometry: 113 meV per atom
* E_tot: -5.10 eV/atom

***

## LiTlAg4 (GGA-PBEsol)

Data for a relaxed structure of LiTlAg4.

a = 5.4730 Å, b = 5.4730 Å, c = 5.4730 Å
α = 60.00°, β = 60.00°, γ = 60.00°
Closest atoms and distances in Å follow each position.
Fractional coordinates of all 6 atoms:
Li: 0.0000 0.0000 0.0000  12 Ag 3.21, 4 Tl 3.35
Tl: 0.7500 0.7500 0.7500  12 Ag 3.21, 4 Li 3.35
Ag: 0.3748 0.3748 0.3748  6 Ag 2.73-2.74
Ag: 0.3748 0.3748 0.8758  6 Ag 2.73-2.74
Ag: 0.3748 0.8758 0.3748  6 Ag 2.73-2.74
Ag: 0.8758 0.3748 0.3748  6 Ag 2.73-2.74

Output
* energy relative to the elements: -0.7 kJ per mole of atoms
* ρ: 9.21 Mg/m³
* total moment: 0.00 μB/f.u.
* E_tot: -2.98 eV/atom

***

## Zr (GGA-PBEsol)

Data for a relaxed structure of Zr.

a = 3.1532 Å, b = 3.1532 Å, c = 3.1532 Å
α = 60.00°, β = 60.00°, γ = 60.00°
Closest atoms and distances in Å follow each position.
Fractional coordinates of all 1 atoms:
Zr: 0.0000 0.0000 0.0000  12 Zr 3.15

Output
* energy relative to the elements: 4.0 kJ per mole of atoms
* ρ: 6.83 Mg/m³
* total moment: 0.00 μB/f.u.
* energy above the lowest structure with this stoichiometry: 41 meV per atom
* E_tot: -9.05 eV/atom

***

## EuSi2Ni2 (GGA-PBEsol)

Data for a relaxed structure of EuSi2Ni2.

a = 5.5735 Å, b = 5.5735 Å, c = 5.5735 Å
α = 138.24°, β = 138.24°, γ = 60.54°
Closest atoms and distances in Å follow each position.
Fractional coordinates of all 5 atoms:
Eu: 0.0000 0.0000 0.0000  8 Si 3.08, 8 Ni 3.12
Si: 0.3692 0.3692 0.0000  4 Ni 2.29, 1 Si 2.52
Si: 0.6308 0.6308 0.0000  4 Ni 2.29, 1 Si 2.52
Ni: 0.2500 0.7500 0.5000  4 Si 2.29
Ni: 0.7500 0.2500 0.5000  4 Si 2.29

Output
* ρ: 7.11 Mg/m³
* total moment: 6.91 μB/f.u.
* formation energy without anion corrections: -752 meV per atom
* E_tot: -7.63 eV/atom

***

## Sr2LiSi (GGA-PBEsol)

Data for a relaxed structure of Sr2LiSi.

a = 4.6493 Å, b = 5.9854 Å, c = 5.9854 Å
α = 46.86°, β = 90.00°, γ = 90.00°
Closest atoms and distances in Å follow each position.
Fractional coordinates of all 4 atoms:
Sr: 0.0000 0.0000 0.0000  2 Li 3.10, 4 Si 3.45
Sr: 0.5000 0.2838 0.2838  3 Si 3.24-3.29, 4 Li 3.52
Li: 0.0000 0.6803 0.6803  2 Si 2.56
Si: 0.5000 0.5836 0.5836  2 Li 2.56

Output
* ρ: 2.87 Mg/m³
* total moment: 0.00 μB/f.u.
* formation energy without anion corrections: -202 meV per atom
* E_tot: -3.05 eV/atom